(1)
This record from the Alexandria database describes a relaxed structure of CeCuSi2. The functional is PBE.

POSCAR file:
```
CeCuSi2
1.0
2.5167 -3.9100 0.0000
2.5167 3.9100 0.0000
0.0000 0.0000 4.1009
Ce Cu Si
1 1 2
direct
0.0000 0.0000 0.0000
0.5000 0.5000 0.5000
0.0000 0.5000 0.5000
0.5000 0.0000 0.5000
```

Properties
- total moment (μB per atom) = 0.166
- N(E_F) (states/eV/cell) = 5.24
- uncorrected formation energy (eV per formula unit) = -1.12
- crystal system = orthorhombic
- space group = No. 65


(2)
This record from the Alexandria database describes a relaxed structure of CeCuSi2. The functional is PBE.

POSCAR file:
```
CeCuSi2
1.0
2.0389 -10.5649 0.0000
2.0389 10.5649 0.0000
0.0000 0.0000 3.8175
Ce Cu Si
2 2 4
direct
0.1398 0.8602 0.7500
0.8602 0.1398 0.2500
0.4171 0.5829 0.7500
0.5829 0.4171 0.2500
0.0302 0.9698 0.2500
0.2546 0.7454 0.2500
0.7454 0.2546 0.7500
0.9698 0.0302 0.7500
```

Properties
- total moment (μB per atom) = 0.112
- N(E_F) (states/eV/cell) = 9.93
- uncorrected formation energy (eV per formula unit) = -0.29
- crystal system = orthorhombic
- space group = No. 63


(3)
This record from the Alexandria database describes a relaxed structure of Ce2Cu2Si. The functional is PBE.

POSCAR file:
```
Ce2Cu2Si
1.0
5.2020 -2.1214 0.0000
5.2020 2.1214 0.0000
-3.5672 0.0000 8.8996
Ce Cu Si
4 4 2
direct
0.0920 0.0920 0.3784
0.1806 0.1806 0.0402
0.8194 0.8194 0.9598
0.9080 0.9080 0.6216
0.3898 0.3898 0.3679
0.4858 0.4858 0.8594
0.5142 0.5142 0.1406
0.6102 0.6102 0.6321
0.2347 0.2347 0.7184
0.7653 0.7653 0.2816
```

Properties
- total moment (μB per atom) = 0.209
- N(E_F) (states/eV/cell) = 19.51
- uncorrected formation energy (eV per formula unit) = -1.64
- crystal system = monoclinic
- space group = No. 12


(4)
This record from the Alexandria database describes a relaxed structure of CeCu6Si2. The functional is PBE.

POSCAR file:
```
CeCu6Si2
1.0
4.0758 0.0000 0.0000
0.0000 4.0758 0.0000
0.0000 0.0000 7.8283
Ce Cu Si
1 6 2
direct
0.0000 0.0000 0.0000
0.0000 0.0000 0.5000
0.0000 0.5000 0.3097
0.0000 0.5000 0.6903
0.5000 0.0000 0.3097
0.5000 0.0000 0.6903
0.5000 0.5000 0.5000
0.5000 0.5000 0.1521
0.5000 0.5000 0.8479
```

Properties
- total moment (μB per atom) = 0.050
- N(E_F) (states/eV/cell) = 6.54
- uncorrected formation energy (eV per formula unit) = -2.50
- crystal system = tetragonal
- space group = No. 123


(5)
This record from the Alexandria database describes a relaxed structure of Ce2Cu2Si3. The functional is PBE.

POSCAR file:
```
Ce2Cu2Si3
1.0
2.1527 -8.9462 0.0000
2.1527 8.9462 0.0000
0.0000 0.0000 6.6153
Ce Cu Si
4 4 6
direct
0.0505 0.9495 0.7500
0.1586 0.8414 0.2500
0.8414 0.1586 0.7500
0.9495 0.0505 0.2500
0.3133 0.6867 0.0618
0.3133 0.6867 0.4382
0.6867 0.3133 0.5618
0.6867 0.3133 0.9382
0.2215 0.7785 0.7500
0.4393 0.5607 0.5705
0.4393 0.5607 0.9295
0.5607 0.4393 0.0705
0.5607 0.4393 0.4295
0.7785 0.2215 0.2500
```

Properties
- total moment (μB per atom) = 0.145
- polymorph energy (0 for the lowest one) (kJ per mole of atoms) = 0.0
- N(E_F) (states/eV/cell) = 17.38
- uncorrected formation energy (eV per formula unit) = -4.09
- crystal system = orthorhombic
- space group = No. 63


(6)
This record from the Alexandria database describes a relaxed structure of Ce2Sm2CuSi4. The functional is PBE.

POSCAR file:
```
Ce2Sm2CuSi4
1.0
-3.4647 3.4647 4.1715
3.4647 -3.4647 4.1715
3.4647 3.4647 -4.1715
Ce Sm Cu Si
2 2 1 4
direct
0.1710 0.1710 0.0000
0.8290 0.8290 0.0000
0.2500 0.7500 0.5000
0.7500 0.2500 0.5000
0.5000 0.5000 0.0000
0.2672 0.2672 0.5345
0.2672 0.7328 0.0000
0.7328 0.2672 0.0000
0.7328 0.7328 0.4655
```

Properties
- total moment (μB per atom) = 0.275
- N(E_F) (states/eV/cell) = 9.39
- uncorrected formation energy (eV per formula unit) = -2.49
- crystal system = tetragonal
- space group = No. 139


(7)
This record from the Alexandria database describes a relaxed structure of SrCeCu2Si2. The functional is PBE.

POSCAR file:
```
SrCeCu2Si2
1.0
4.2351 0.0000 0.0000
-2.1175 3.6677 0.0000
0.0000 0.0000 8.1324
Sr Ce Cu Si
1 1 2 2
direct
0.0000 0.0000 0.0000
0.0000 0.0000 0.5000
0.3333 0.6667 0.7272
0.6667 0.3333 0.2728
0.3333 0.6667 0.2831
0.6667 0.3333 0.7169
```

Properties
- total moment (μB per atom) = 0.013
- N(E_F) (states/eV/cell) = 1.15
- uncorrected formation energy (eV per formula unit) = -3.01
- crystal system = trigonal
- space group = No. 164


(8)
This record from the Alexandria database describes a relaxed structure of TbCeCu2Si2. The functional is PBE.

POSCAR file:
```
TbCeCu2Si2
1.0
4.1524 0.0000 0.0000
-2.0762 3.5961 0.0000
0.0000 0.0000 7.7624
Tb Ce Cu Si
1 1 2 2
direct
0.0000 0.0000 0.0000
0.0000 0.0000 0.5000
0.3333 0.6667 0.7564
0.6667 0.3333 0.2436
0.3333 0.6667 0.2472
0.6667 0.3333 0.7528
```

Properties
- total moment (μB per atom) = 0.136
- N(E_F) (states/eV/cell) = 6.21
- uncorrected formation energy (eV per formula unit) = -3.71
- crystal system = trigonal
- space group = No. 164


(9)
This record from the Alexandria database describes a relaxed structure of TbCe2Cu2Si2. The functional is PBE.

POSCAR file:
```
TbCe2Cu2Si2
1.0
2.0793 1.2005 9.0790
-2.0793 1.2005 9.0790
0.0000 -2.4009 9.0790
Tb Ce Cu Si
1 2 2 2
direct
0.0000 0.0000 0.0000
0.1396 0.1396 0.1396
0.8604 0.8604 0.8604
0.4032 0.4032 0.4032
0.5968 0.5968 0.5968
0.2631 0.2631 0.2631
0.7369 0.7369 0.7369
```

Properties
- total moment (μB per atom) = 0.183
- N(E_F) (states/eV/cell) = 8.46
- uncorrected formation energy (eV per formula unit) = -3.56
- crystal system = trigonal
- space group = No. 166


(10)
This record from the Alexandria database describes a relaxed structure of Ce2ThCu2Si2. The functional is PBE.

POSCAR file:
```
Ce2ThCu2Si2
1.0
2.0835 1.2029 9.3319
-2.0835 1.2029 9.3319
0.0000 -2.4059 9.3319
Ce Th Cu Si
2 1 2 2
direct
0.1407 0.1407 0.1407
0.8593 0.8593 0.8593
0.0000 0.0000 0.0000
0.4056 0.4056 0.4056
0.5944 0.5944 0.5944
0.2613 0.2613 0.2613
0.7387 0.7387 0.7387
```

Properties
- total moment (μB per atom) = 0.207
- N(E_F) (states/eV/cell) = 9.32
- uncorrected formation energy (eV per formula unit) = -3.45
- crystal system = trigonal
- space group = No. 166


(11)
This record from the Alexandria database describes a relaxed structure of Ce2Y2CuSi4. The functional is PBE.

POSCAR file:
```
Ce2Y2CuSi4
1.0
-3.4467 3.4467 4.1448
3.4467 -3.4467 4.1448
3.4467 3.4467 -4.1448
Ce Y Cu Si
2 2 1 4
direct
0.1735 0.1735 0.0000
0.8265 0.8265 0.0000
0.2500 0.7500 0.5000
0.7500 0.2500 0.5000
0.5000 0.5000 0.0000
0.2663 0.2663 0.5326
0.2663 0.7337 0.0000
0.7337 0.2663 0.0000
0.7337 0.7337 0.4674
```

Properties
- total moment (μB per atom) = 0.254
- N(E_F) (states/eV/cell) = 10.33
- uncorrected formation energy (eV per formula unit) = -2.33
- crystal system = tetragonal
- space group = No. 139


(12)
This record from the Alexandria database describes a relaxed structure of CeZn2Cu2Si. The functional is PBE.

POSCAR file:
```
CeZn2Cu2Si
1.0
4.4197 0.0000 0.0000
0.0000 4.4197 0.0000
0.0000 0.0000 5.6407
Ce Zn Cu Si
1 2 2 1
direct
0.0000 0.0000 0.0000
0.5000 0.5000 0.2305
0.5000 0.5000 0.7695
0.0000 0.5000 0.5000
0.5000 0.0000 0.5000
0.0000 0.0000 0.5000
```

Properties
- total moment (μB per atom) = 0.191
- N(E_F) (states/eV/cell) = 8.08
- uncorrected formation energy (eV per formula unit) = -0.37
- crystal system = tetragonal
- space group = No. 123